{
  "formula": "InRuNO2",
  "functional": "PBE",
  "state": "optimized geometry",
  "formation_energy_uncorrected_mev_per_atom": 951,
  "final_energy_ha_per_atom": -0.187,
  "cell": [[4.145, 0.000, 0.000], [0.000, 4.145, 0.000], [0.000, 0.000, 4.196]],
  "species": ["Ru", "N", "O", "O", "In"],
  "fractional_positions": [[0.500, 0.500, 0.500], [0.000, 0.000, 0.500], [0.000, 0.500, 0.000], [0.500, 0.000, 0.000], [0.000, 0.000, 0.000]]
}

{
  "formula": "InSN2O",
  "functional": "PBE",
  "state": "optimized geometry",
  "formation_energy_uncorrected_mev_per_atom": 2085,
  "final_energy_ha_per_atom": -0.133,
  "cell": [[-3.321, 2.599, -1.051], [-2.801, -3.149, 1.062], [-0.155, 1.820, 4.989]],
  "species": ["S", "N", "N", "O", "In"],
  "fractional_positions": [[0.000, 0.000, 0.500], [0.000, 0.500, 0.000], [0.500, 0.000, 0.000], [0.500, 0.500, 0.500], [0.000, 0.000, 0.000]]
}

{
  "formula": "InS2NO",
  "functional": "PBE",
  "state": "optimized geometry",
  "e_above_lowest_polymorph_ev_per_atom": 0.000,
  "formation_energy_uncorrected_mev_per_atom": 1219,
  "final_energy_ha_per_atom": -0.134,
  "cell": [[4.143, 0.000, 0.000], [0.000, 4.143, 0.000], [0.000, 0.000, 4.233]],
  "species": ["S", "S", "N", "O", "In"],
  "fractional_positions": [[0.000, 0.500, 0.000], [0.500, 0.000, 0.000], [0.000, 0.000, 0.500], [0.000, 0.000, 0.000], [0.500, 0.500, 0.500]]
}

{
  "formula": "InSN2O",
  "functional": "PBE",
  "state": "optimized geometry",
  "formation_energy_uncorrected_mev_per_atom": 1794,
  "final_energy_ha_per_atom": -0.143,
  "cell": [[-3.247, 2.053, 0.946], [0.192, -1.400, 3.695], [2.151, 2.940, 1.002]],
  "species": ["S", "N", "N", "O", "In"],
  "fractional_positions": [[0.000, 0.000, 0.500], [0.000, 0.500, 0.000], [0.500, 0.000, 0.000], [0.000, 0.000, 0.000], [0.500, 0.500, 0.500]]
}

Please write out number 1 again, unchanged.
{
  "formula": "InRuNO2",
  "functional": "PBE",
  "state": "optimized geometry",
  "formation_energy_uncorrected_mev_per_atom": 951,
  "final_energy_ha_per_atom": -0.187,
  "cell": [[4.145, 0.000, 0.000], [0.000, 4.145, 0.000], [0.000, 0.000, 4.196]],
  "species": ["Ru", "N", "O", "O", "In"],
  "fractional_positions": [[0.500, 0.500, 0.500], [0.000, 0.000, 0.500], [0.000, 0.500, 0.000], [0.500, 0.000, 0.000], [0.000, 0.000, 0.000]]
}